No. 1
{
  "formula": "SrBiH2O4",
  "functional": "GGA-PBE",
  "state": "relaxed",
  "lattice_angstrom": [[4.943, 0.000, 0.000], [0.000, 5.905, 0.000], [0.000, 0.000, 6.635]],
  "species": ["Sr", "Sr", "Bi", "Bi", "H", "H", "H", "H", "O", "O", "O", "O", "O", "O", "O", "O"],
  "frac_coords": [[0.000, 0.000, 0.000], [0.500, 0.500, 0.500], [0.000, 0.000, 0.500], [0.500, 0.500, 0.000], [0.000, 0.500, 0.198], [0.000, 0.500, 0.802], [0.500, 0.000, 0.302], [0.500, 0.000, 0.698], [0.188, 0.363, 0.794], [0.188, 0.637, 0.206], [0.312, 0.137, 0.294], [0.312, 0.863, 0.706], [0.688, 0.137, 0.706], [0.688, 0.863, 0.294], [0.812, 0.363, 0.206], [0.812, 0.637, 0.794]],
  "total_energy_ha_per_atom": -0.1967,
  "space_group": "I222 (23)"
}

No. 2
{
  "formula": "BaCa2Zn",
  "functional": "GGA-PBE",
  "state": "relaxed",
  "lattice_angstrom": [[4.015, 0.000, 0.000], [0.000, 6.008, 0.000], [0.000, 0.000, 12.622]],
  "species": ["Ba", "Ba", "Ca", "Ca", "Ca", "Ca", "Zn", "Zn"],
  "frac_coords": [[0.000, 0.000, 0.000], [0.500, 0.500, 0.500], [0.000, 0.000, 0.605], [0.000, 0.500, 0.801], [0.500, 0.000, 0.301], [0.500, 0.500, 0.105], [0.000, 0.500, 0.289], [0.500, 0.000, 0.789]],
  "e_form_ev_per_fu": -0.02,
  "total_energy_ha_per_atom": -0.0663,
  "space_group": "Imm2 (44)"
}

No. 3
{
  "formula": "Tb3Ge5",
  "functional": "GGA-PBE",
  "state": "relaxed",
  "lattice_angstrom": [[0.000, 8.722, 6.909], [2.897, 0.000, 6.909], [2.897, 8.722, 0.000]],
  "species": ["Tb", "Tb", "Tb", "Tb", "Tb", "Tb", "Ge", "Ge", "Ge", "Ge", "Ge", "Ge", "Ge", "Ge", "Ge", "Ge"],
  "frac_coords": [[0.000, 0.000, 0.000], [0.250, 0.250, 0.250], [0.311, 0.673, 0.353], [0.587, 0.897, 0.577], [0.673, 0.311, 0.663], [0.897, 0.587, 0.939], [0.075, 0.751, 0.251], [0.220, 0.471, 0.909], [0.327, 0.999, 0.499], [0.341, 0.850, 0.030], [0.471, 0.220, 0.400], [0.552, 0.552, 0.448], [0.751, 0.075, 0.923], [0.802, 0.802, 0.698], [0.850, 0.341, 0.779], [0.999, 0.327, 0.175]],
  "e_form_ev_per_fu": -5.82,
  "total_energy_ha_per_atom": -0.1966,
  "relative_energy_mev_per_atom": 2.5,
  "space_group": "Fdd2 (43)"
}

No. 4
{
  "formula": "ThFe2Ni3",
  "functional": "GGA-PBE",
  "state": "relaxed",
  "lattice_angstrom": [[5.005, 0.000, 0.000], [-2.503, 4.335, 0.000], [0.000, 0.000, 4.010]],
  "species": ["Th", "Fe", "Fe", "Ni", "Ni", "Ni"],
  "frac_coords": [[0.000, 0.000, 0.000], [0.333, 0.667, 0.000], [0.667, 0.333, 0.000], [0.000, 0.500, 0.500], [0.500, 0.000, 0.500], [0.500, 0.500, 0.500]],
  "e_form_ev_per_fu": -1.22,
  "total_energy_ha_per_atom": -0.2628,
  "space_group": "P6/mmm (191)"
}

No. 5
{
  "formula": "AgTe2SI",
  "functional": "GGA-PBE",
  "state": "relaxed",
  "lattice_angstrom": [[5.463, 0.000, 0.000], [0.000, 5.463, 0.000], [0.000, 0.000, 5.488]],
  "species": ["Ag", "Te", "Te", "S", "I"],
  "frac_coords": [[0.000, 0.000, 0.000], [0.000, 0.500, 0.000], [0.500, 0.000, 0.000], [0.500, 0.500, 0.500], [0.000, 0.000, 0.500]],
  "total_energy_ha_per_atom": -0.0782,
  "formation_energy_uncorrected_ev_per_atom": 0.84,
  "relative_energy_mev_per_atom": 273.3,
  "space_group": "P4/mmm (123)"
}

No. 6
{
  "formula": "RbMnSbSe4",
  "functional": "GGA-PBE",
  "state": "relaxed",
  "lattice_angstrom": [[7.072, 0.000, 0.000], [0.000, 7.063, 0.000], [-3.050, 0.000, 8.930]],
  "species": ["Rb", "Rb", "Mn", "Mn", "Sb", "Sb", "Se", "Se", "Se", "Se", "Se", "Se", "Se", "Se"],
  "frac_coords": [[0.228, 0.250, 0.436], [0.772, 0.750, 0.564], [0.272, 0.750, 0.180], [0.728, 0.250, 0.820], [0.281, 0.250, 0.996], [0.719, 0.750, 0.004], [0.050, 0.750, 0.308], [0.057, 0.750, 0.934], [0.499, 0.000, 0.789], [0.499, 0.500, 0.789], [0.501, 0.000, 0.211], [0.501, 0.500, 0.211], [0.943, 0.250, 0.066], [0.950, 0.250, 0.692]],
  "total_energy_ha_per_atom": -0.1645,
  "formation_energy_uncorrected_ev_per_atom": -0.45,
  "space_group": "P2_1/m (11)"
}